CrH12Cl3O6, optimized geometry, DFT PBE with a Hubbard U; calculated total energy = -4.868 eV per atom; mass density = 1.74 g/cm³
1.0
8.043 0.066 0.078
-1.044 7.976 0.078
-1.044 -1.199 7.885
H O Cl Cr
24 12 6 2
Direct
0.593 0.386 0.797
0.386 0.797 0.593
0.456 0.719 0.764
0.236 0.544 0.281
0.719 0.764 0.456
0.407 0.614 0.203
0.764 0.456 0.719
0.044 0.736 0.781
0.219 0.956 0.264
0.264 0.219 0.956
0.797 0.593 0.386
0.614 0.203 0.407
0.907 0.703 0.114
0.703 0.114 0.907
0.736 0.781 0.044
0.781 0.044 0.736
0.093 0.297 0.886
0.281 0.236 0.544
0.544 0.281 0.236
0.956 0.264 0.219
0.203 0.407 0.614
0.114 0.907 0.703
0.886 0.093 0.297
0.297 0.886 0.093
0.054 0.862 0.794
0.706 0.638 0.446
0.862 0.794 0.054
0.138 0.206 0.946
0.638 0.446 0.706
0.206 0.946 0.138
0.794 0.054 0.862
0.362 0.554 0.294
0.294 0.362 0.554
0.554 0.294 0.362
0.446 0.706 0.638
0.946 0.138 0.206
0.021 0.479 0.750
0.250 0.979 0.521
0.979 0.521 0.250
0.521 0.250 0.979
0.750 0.021 0.479
0.479 0.750 0.021
0.000 0.000 0.000
0.500 0.500 0.500